Be2AgWO after structural relaxation, computed with GGA+U.

Unit cell a=4.2879 b=4.1295 c=4.2879 alpha=90.00 beta=90.00 gamma=90.00
Atoms (fractional coordinates):
Ag: 0.0000 0.0000 0.0000
O: 0.0000 0.5000 0.0000
Be: 0.5000 0.0000 0.0000
W: 0.5000 0.5000 0.5000
Be: 0.0000 0.0000 0.5000

Properties
E   -3.151 eV/atom
Space-group type   P4/mmm, No. 123